(1)
This record from Alexandria via LeMat-Bulk describes crystalline YSi3Pb at its relaxed geometry. The functional is GGA-PBE.

Geometry as POSCAR:
```
YSi3Pb
1.0
5.2984 0.0000 0.0000
0.0000 5.2984 0.0000
0.0000 0.0000 5.2984
Y Si Pb
1 3 1
direct
0.0000 0.0000 0.0000
0.0000 0.0000 0.5000
0.0000 0.5000 0.0000
0.5000 0.0000 0.0000
0.5000 0.5000 0.5000
```

Calculated values
Energy = -4.38 eV/atom



(2)
This record from Alexandria via LeMat-Bulk describes crystalline Li2TlAu2 at its relaxed geometry. The functional is GGA-PBE.

Geometry as POSCAR:
```
Li2TlAu2
1.0
7.6755 0.0000 0.0000
0.0000 7.6755 0.0000
0.0000 0.0000 3.1505
Li Tl Au
4 2 4
direct
0.1581 0.3419 0.0000
0.3419 0.8419 0.0000
0.6581 0.1581 0.0000
0.8419 0.6581 0.0000
0.0000 0.0000 0.5000
0.5000 0.5000 0.5000
0.1347 0.6347 0.5000
0.3653 0.1347 0.5000
0.6347 0.8653 0.5000
0.8653 0.3653 0.5000
```

Calculated values
Energy = -2.94 eV/atom
Energy relative to the elements = -393 meV per atom



Calculated DOS(E_F) (states/eV/atom), listed in the same order as above: 0.51 0.36
Calculated excess energy over the best structure of this formula in the dataset (eV per formula unit), listed in the same order as above: 0.00 0.00